First-principles (PBE-GGA) data for HgMo3 after structural relaxation, as listed in Alexandria via LeMat-Bulk.

Structure (extended XYZ):
```
8
Lattice="5.115 0.000 0.000 0.000 5.115 0.000 0.000 0.000 5.115" Properties=species:S:1:pos:R:3 pbc="T T T"
Hg 0.000 0.000 0.000
Hg 2.557 2.557 2.557
Mo 0.000 1.279 2.557
Mo 0.000 3.836 2.557
Mo 1.279 2.557 0.000
Mo 2.557 0.000 1.279
Mo 2.557 0.000 3.836
Mo 3.836 2.557 0.000
```

Computed properties:
Density = 12.1 Mg/m³
Crystal system = cubic
Calculated total energy = -62.54 eV per cell



First-principles (PBE-GGA) data for MgSb6Ru after structural relaxation, as listed in Alexandria via LeMat-Bulk.

Structure (extended XYZ):
```
16
Lattice="6.800 -4.714 0.000 6.800 4.714 0.000 -6.771 0.000 7.127" Properties=species:S:1:pos:R:3 pbc="T T T"
Mg 3.400 2.357 0.000
Mg 3.400 -2.357 0.000
Sb 2.308 3.220 2.598
Sb 0.885 3.255 5.916
Sb 5.944 3.255 1.211
Sb 4.521 3.220 4.529
Sb 1.201 0.000 3.738
Sb 3.285 0.000 1.665
Sb 3.544 0.000 5.463
Sb 5.628 0.000 3.389
Sb 2.308 -3.220 2.598
Sb 0.885 -3.255 5.916
Sb 5.944 -3.255 1.211
Sb 4.521 -3.220 4.529
Ru 0.015 2.357 3.564
Ru 0.015 -2.357 3.564
```

Computed properties:
Density = 6.2 Mg/m³
Crystal system = monoclinic
Energy relative to the elements, uncorrected = -1.64 kcal/mol of atoms



First-principles (PBE-GGA) data for Cr7Ni6Rh16 after structural relaxation, as listed in Alexandria via LeMat-Bulk.

Structure (extended XYZ):
```
29
Lattice="0.000 5.832 5.832 5.832 0.000 5.832 5.832 5.832 0.000" Properties=species:S:1:pos:R:3 pbc="T T T"
Cr 0.000 0.000 0.000
Cr 2.916 2.916 0.000
Cr 2.916 0.000 2.916
Cr 5.832 2.916 2.916
Cr 0.000 2.916 2.916
Cr 2.916 5.832 2.916
Cr 2.916 2.916 5.832
Ni 5.832 5.832 2.716
Ni 5.832 2.716 5.832
Ni 8.947 5.832 5.832
Ni 2.716 5.832 5.832
Ni 5.832 8.947 5.832
Ni 5.832 5.832 8.947
Rh 7.233 4.430 4.430
Rh 1.641 1.641 1.641
Rh 4.191 4.191 1.641
Rh 4.191 1.641 4.191
Rh 4.430 4.430 4.430
Rh 7.233 7.233 4.430
Rh 7.233 4.430 7.233
Rh 10.022 7.472 7.472
Rh 1.641 4.191 4.191
Rh 4.430 7.233 4.430
Rh 4.430 4.430 7.233
Rh 7.233 7.233 7.233
Rh 7.472 10.022 7.472
Rh 7.472 7.472 10.022
Rh 10.022 10.022 10.022
Rh 4.430 7.233 7.233
```

Computed properties:
Density = 9.9 Mg/m³
Crystal system = cubic
Calculated total energy = -215.32 eV per cell



First-principles (PBE-GGA) data for Y2BeFe after structural relaxation, as listed in Alexandria via LeMat-Bulk.

Structure (extended XYZ):
```
4
Lattice="0.000 3.348 3.348 3.348 0.000 3.348 3.348 3.348 0.000" Properties=species:S:1:pos:R:3 pbc="T T T"
Y 0.000 0.000 0.000
Y 1.674 1.674 1.674
Be 3.348 3.348 3.348
Fe 5.022 5.022 5.022
```

Computed properties:
Density = 5.4 Mg/m³
Crystal system = cubic
Calculated total energy = -23.40 eV per cell



First-principles (PBE-GGA) data for Cs4CuSi2O7 after structural relaxation, as listed in Alexandria via LeMat-Bulk.

Structure (extended XYZ):
```
14
Lattice="6.619 0.000 0.000 -2.533 7.155 0.000 -2.646 -3.203 6.384" Properties=species:S:1:pos:R:3 pbc="T T T"
Cs -0.959 1.766 1.782
Cs -1.239 -0.804 4.946
Cs 2.679 4.755 1.438
Cs 2.399 2.185 4.603
Cu 1.986 -1.602 3.192
Si -1.002 3.693 4.970
Si 2.442 0.258 1.414
O -1.935 4.207 3.681
O -1.349 6.329 1.525
O -0.588 2.133 4.898
O 3.309 0.000 0.000
O 2.028 1.819 1.487
O 2.789 -2.377 4.859
O 3.375 -0.255 2.703
```

Computed properties:
Density = 4.2 Mg/m³
Crystal system = triclinic
Energy relative to the elements, uncorrected = -47.08 kcal/mol of atoms



First-principles (PBE-GGA) data for PmMgRh2 after structural relaxation, as listed in Alexandria via LeMat-Bulk.

Structure (extended XYZ):
```
4
Lattice="4.571 0.000 0.000 0.000 4.571 0.000 0.000 0.000 3.533" Properties=species:S:1:pos:R:3 pbc="T T T"
Pm 0.000 0.000 0.000
Mg 2.285 2.285 0.000
Rh 0.000 2.285 1.767
Rh 2.285 0.000 1.767
```

Computed properties:
Density = 8.4 Mg/m³
Crystal system = tetragonal
Calculated total energy = -23.49 eV per cell